Crystalline Mg2MnIr at its relaxed geometry, computed with GGA-PBE. Values from VASP.

```
&SYSTEM
  ibrav = 0, nat = 4, ntyp = 3
/
ATOMIC_SPECIES
Mg 24.30 Mg.upf
Ir 192.22 Ir.upf
Mn 54.94 Mn.upf
CELL_PARAMETERS angstrom
1.145 -4.004 -1.617
-3.136 -2.725 -1.642
-0.206 -0.776 -4.395
ATOMIC_POSITIONS angstrom
Mg -0.549 -1.876 -1.913
Mg -1.648 -5.629 -5.740
Ir -1.099 -3.753 -3.827
Mn 0.000 0.000 0.000
```

Calculated values
E_form: -0.10 eV per atom
Total magnetization: 3.537 Bohr magnetons per cell
Space group: Fm-3m (225)
E_tot: -21.63 eV for the cell shown

=====

Crystalline NaCa3Tm2Se6 at its relaxed geometry, computed with GGA-PBE. Values from VASP.

```
&SYSTEM
  ibrav = 0, nat = 12, ntyp = 4
/
ATOMIC_SPECIES
Na 22.99 Na.upf
Ca 40.08 Ca.upf
Tm 168.93 Tm.upf
Se 78.96 Se.upf
CELL_PARAMETERS angstrom
7.173 0.003 0.001
-3.582 6.214 0.001
-1.197 -2.073 6.755
ATOMIC_POSITIONS angstrom
Na 0.000 0.000 0.000
Ca -2.424 4.162 3.378
Ca 4.817 -0.019 3.378
Ca 1.197 2.072 3.378
Tm -0.005 4.148 0.001
Tm 3.595 2.069 0.001
Se 3.622 2.007 5.121
Se 2.358 4.083 1.625
Se -1.229 2.137 1.636
Se -0.072 4.140 5.121
Se 0.035 0.060 5.131
Se 2.465 0.003 1.636
```

Calculated values
Formation energy without anion corrections: -1.843 eV/atom
Total magnetization: 0.000 Bohr magnetons per cell
Space group: C2/m (12)
E_tot: -59.28 eV for the cell shown

=====

Crystalline Ac7InIr2 at its relaxed geometry, computed with GGA-PBE. Values from VASP.

```
&SYSTEM
  ibrav = 0, nat = 10, ntyp = 3
/
ATOMIC_SPECIES
Ac 227.00 Ac.upf
In 114.82 In.upf
Ir 192.22 Ir.upf
CELL_PARAMETERS angstrom
5.651 0.000 0.000
0.000 8.924 0.324
0.000 -3.646 8.152
ATOMIC_POSITIONS angstrom
Ac 0.000 5.238 2.620
Ac 0.000 0.040 5.857
Ac 2.826 -0.681 2.566
Ac 2.826 5.959 5.911
Ac 2.826 2.603 0.521
Ac 2.826 2.675 7.956
Ac 2.826 2.639 4.238
In 0.000 0.000 0.000
Ir 2.826 5.166 2.664
Ir 2.826 0.112 5.812
```

Calculated values
E_form: -0.27 eV per atom
Total magnetization: 0.000 Bohr magnetons per cell
Space group: Cmmm (65)
E_tot: -51.89 eV for the cell shown

=====

Crystalline MgAlTe at its relaxed geometry, computed with GGA-PBE. Values from VASP.

```
&SYSTEM
  ibrav = 0, nat = 3, ntyp = 3
/
ATOMIC_SPECIES
Al 26.98 Al.upf
Mg 24.30 Mg.upf
Te 127.60 Te.upf
CELL_PARAMETERS angstrom
5.511 -0.059 0.067
4.256 3.502 0.072
1.256 0.437 3.534
ATOMIC_POSITIONS angstrom
Al 1.278 0.445 3.525
Mg 4.114 1.447 2.393
Te 6.886 2.425 1.288
```

Calculated values
Formation energy without anion corrections: -0.054 eV/atom
Total magnetization: 0.000 Bohr magnetons per cell
Space group: I4mm (107)
E_tot: -8.64 eV for the cell shown

=====

Crystalline Al2VSn at its relaxed geometry, computed with GGA-PBE. Values from VASP.

```
&SYSTEM
  ibrav = 0, nat = 4, ntyp = 3
/
ATOMIC_SPECIES
Al 26.98 Al.upf
Sn 118.71 Sn.upf
V 50.94 V.upf
CELL_PARAMETERS angstrom
4.056 0.000 0.000
0.000 4.133 0.000
0.000 0.000 4.133
ATOMIC_POSITIONS angstrom
Al 0.000 0.000 2.066
Al 0.000 2.066 0.000
Sn 2.028 2.066 2.066
V 2.028 0.000 0.000
```

Calculated values
E_form: 0.12 eV per atom
Total magnetization: 1.945 Bohr magnetons per cell
Space group: P4/mmm (123)
E_tot: -20.15 eV for the cell shown

=====

Crystalline Zr3Si at its relaxed geometry, computed with GGA-PBE. Values from VASP.

```
&SYSTEM
  ibrav = 0, nat = 4, ntyp = 2
/
ATOMIC_SPECIES
Si 28.09 Si.upf
Zr 91.22 Zr.upf
CELL_PARAMETERS angstrom
-2.080 -2.755 0.846
2.680 -2.232 -0.681
1.912 0.433 6.108
ATOMIC_POSITIONS angstrom
Si 0.000 0.000 0.000
Zr 0.715 -2.400 1.409
Zr 0.956 0.216 3.054
Zr 1.797 -2.155 4.865
```

Calculated values
Formation energy without anion corrections: -0.370 eV/atom
Total magnetization: 0.000 Bohr magnetons per cell
Space group: P4/mmm (123)
E_tot: -32.55 eV for the cell shown